YTe3O: optimized geometry, PBE.

The structure in POSCAR format:
```
YTe3O
1.0
5.7623 0.0000 0.0000
0.0000 5.7623 0.0000
0.0000 0.0000 5.7623
Y Te O
1 3 1
Direct
0.0000 0.0000 0.0000
0.0000 0.0000 0.5000
0.0000 0.5000 0.0000
0.5000 0.0000 0.0000
0.5000 0.5000 0.5000
```

Output
The formation energy (no corrections) is 506 meV per atom. The density of states at the Fermi level is 10.1 states/eV/f.u. As for the space group: Pm-3m. The calculation puts the energy above the lowest structure with this stoichiometry at 1040 meV/atom.

---

Y4Te3O2: optimized geometry, PBE.

The structure in POSCAR format:
```
Y4Te3O2
1.0
6.7536 -1.8701 0.0000
6.7536 1.8701 0.0000
-2.0132 0.0000 8.4606
Y Te O
4 3 2
Direct
0.0831 0.0831 0.1925
0.3192 0.3192 0.4022
0.6808 0.6808 0.5978
0.9169 0.9169 0.8075
0.0000 0.0000 0.5000
0.3901 0.3901 0.0840
0.6099 0.6099 0.9160
0.2965 0.2965 0.6593
0.7035 0.7035 0.3407
```

Output
The formation energy (no corrections) is -1901 meV per atom. The density of states at the Fermi level is 3.2 states/eV/f.u. As for the space group: C2/m.

---

Y2TeO: optimized geometry, PBE.

The structure in POSCAR format:
```
Y2TeO
1.0
-3.5691 3.5691 3.6913
3.5691 -3.5691 3.6913
3.5691 3.5691 -3.6913
Y Te O
4 2 2
Direct
0.0114 0.1250 0.3864
0.3750 0.9886 0.1136
0.7386 0.6250 0.6136
0.8750 0.2614 0.8864
0.2500 0.7500 0.5000
0.5000 0.5000 0.0000
0.0000 0.0000 0.0000
0.7500 0.2500 0.5000
```

Output
The formation energy (no corrections) is -1927 meV per atom. The density of states at the Fermi level is 1.7 states/eV/f.u. As for the space group: I-42d. The calculation puts the energy above the lowest structure with this stoichiometry at 0 meV/atom.

---

Y2Te4O11: optimized geometry, PBE.

The structure in POSCAR format:
```
Y2Te4O11
1.0
6.2543 -2.5914 0.0000
6.2543 2.5914 0.0000
-4.1985 0.0000 15.8703
Y Te O
4 8 22
Direct
0.1292 0.6324 0.9624
0.3676 0.8708 0.5376
0.6324 0.1292 0.4624
0.8708 0.3676 0.0376
0.1527 0.5879 0.6243
0.1609 0.5974 0.3023
0.4026 0.8391 0.1977
0.4121 0.8473 0.8757
0.5879 0.1527 0.1243
0.5974 0.1609 0.8023
0.8391 0.4026 0.6977
0.8473 0.4121 0.3757
0.0377 0.8239 0.5449
0.0949 0.2023 0.1668
0.1501 0.8499 0.2500
0.1761 0.9623 0.9551
0.1914 0.3159 0.3737
0.2023 0.0949 0.6668
0.2482 0.3359 0.0514
0.3159 0.1914 0.8737
0.3359 0.2482 0.5514
0.4003 0.5518 0.4034
0.4482 0.5997 0.0966
0.5518 0.4003 0.9034
0.5997 0.4482 0.5966
0.6641 0.7518 0.4486
0.6841 0.8086 0.1263
0.7518 0.6641 0.9486
0.7977 0.9051 0.3332
0.8086 0.6841 0.6263
0.8239 0.0377 0.0449
0.8499 0.1501 0.7500
0.9051 0.7977 0.8332
0.9623 0.1761 0.4551
```

Output
The formation energy (no corrections) is -1839 meV per atom. The density of states at the Fermi level is 0.0 states/eV/f.u. As for the space group: C2/c.

---

Y2TeO2: optimized geometry, PBE.

The structure in POSCAR format:
```
Y2TeO2
1.0
0.0000 5.0484 5.3039
3.5996 0.0000 5.3039
3.5996 5.0484 0.0000
Y Te O
4 2 4
Direct
0.0551 0.6949 0.0551
0.3051 0.9449 0.3051
0.6949 0.0551 0.6949
0.9449 0.3051 0.9449
0.3750 0.3750 0.3750
0.6250 0.6250 0.6250
0.0076 0.0076 0.7424
0.2576 0.2576 0.9924
0.7424 0.7424 0.0076
0.9924 0.9924 0.2576
```

Output
The formation energy (no corrections) is -2872 meV per atom. The density of states at the Fermi level is 0.0 states/eV/f.u. As for the space group: Fddd.

---

YTe2O8: optimized geometry, PBE.

The structure in POSCAR format:
```
YTe2O8
1.0
-2.5855 2.5855 5.5089
2.5855 -2.5855 5.5089
2.5855 2.5855 -5.5089
Y Te O
1 2 8
Direct
0.0000 0.0000 0.0000
0.2500 0.7500 0.5000
0.7500 0.2500 0.5000
0.0560 0.5668 0.8947
0.1613 0.0560 0.4892
0.3279 0.4332 0.4892
0.4332 0.9440 0.1053
0.5668 0.6721 0.5108
0.6721 0.1613 0.1053
0.8387 0.3279 0.8947
0.9440 0.8387 0.5108
```

Output
The formation energy (no corrections) is -1064 meV per atom. The density of states at the Fermi level is 7.6 states/eV/f.u. As for the space group: I422.

---

Y3TeO3: optimized geometry, PBE.

The structure in POSCAR format:
```
Y3TeO3
1.0
3.3478 1.9328 7.2194
-3.3478 1.9328 7.2194
0.0000 -3.8657 7.2194
Y Te O
6 2 6
Direct
0.1013 0.4284 0.7731
0.2269 0.8987 0.5716
0.4284 0.7731 0.1013
0.5716 0.2269 0.8987
0.7731 0.1013 0.4284
0.8987 0.5716 0.2269
0.3334 0.3334 0.3334
0.6666 0.6666 0.6666
0.1255 0.7917 0.4613
0.2083 0.5387 0.8745
0.4613 0.1255 0.7917
0.5387 0.8745 0.2083
0.7917 0.4613 0.1255
0.8745 0.2083 0.5387
```

Output
The formation energy (no corrections) is -2846 meV per atom. The density of states at the Fermi level is 2.5 states/eV/f.u. As for the space group: R-3.

---

Y12Te3O5: optimized geometry, PBE.

The structure in POSCAR format:
```
Y12Te3O5
1.0
-7.8153 7.8153 7.8153
7.8153 -7.8153 7.8153
7.8153 7.8153 -7.8153
Y Te O
48 12 20
Direct
0.0058 0.1952 0.1049
0.0058 0.3106 0.9009
0.0903 0.6952 0.6894
0.0903 0.8951 0.4009
0.0991 0.6049 0.4097
0.0991 0.9942 0.6894
0.1049 0.0058 0.1952
0.1049 0.5991 0.9097
0.1894 0.1952 0.5903
0.1894 0.4942 0.5991
0.1952 0.1049 0.0058
0.1952 0.5903 0.1894
0.3048 0.3106 0.9097
0.3048 0.4942 0.3951
0.3106 0.9009 0.0058
0.3106 0.9097 0.3048
0.3951 0.3048 0.4942
0.3951 0.5903 0.9009
0.4009 0.0903 0.8951
0.4009 0.8106 0.5058
0.4097 0.0991 0.6049
0.4097 0.8106 0.8048
0.4942 0.3951 0.3048
0.4942 0.5991 0.1894
0.5058 0.4009 0.8106
0.5058 0.6049 0.6952
0.5903 0.1894 0.1952
0.5903 0.9009 0.3951
0.5991 0.1894 0.4942
0.5991 0.9097 0.1049
0.6049 0.4097 0.0991
0.6049 0.6952 0.5058
0.6894 0.0903 0.6952
0.6894 0.0991 0.9942
0.6952 0.5058 0.6049
0.6952 0.6894 0.0903
0.8048 0.4097 0.8106
0.8048 0.8951 0.9942
0.8106 0.5058 0.4009
0.8106 0.8048 0.4097
0.8951 0.4009 0.0903
0.8951 0.9942 0.8048
0.9009 0.0058 0.3106
0.9009 0.3951 0.5903
0.9097 0.1049 0.5991
0.9097 0.3048 0.3106
0.9942 0.6894 0.0991
0.9942 0.8048 0.8951
0.1250 0.2500 0.3750
0.1250 0.3750 0.7500
0.2500 0.3750 0.1250
0.2500 0.8750 0.6250
0.3750 0.1250 0.2500
0.3750 0.7500 0.1250
0.6250 0.2500 0.8750
0.6250 0.8750 0.7500
0.7500 0.1250 0.3750
0.7500 0.6250 0.8750
0.8750 0.6250 0.2500
0.8750 0.7500 0.6250
0.0000 0.0000 0.0000
0.0000 0.0000 0.5000
0.0000 0.5000 0.0000
0.0000 0.5000 0.5000
0.1250 0.7500 0.8750
0.1250 0.8750 0.2500
0.2500 0.1250 0.8750
0.2500 0.6250 0.3750
0.3750 0.2500 0.6250
0.3750 0.6250 0.7500
0.5000 0.0000 0.0000
0.5000 0.0000 0.5000
0.5000 0.5000 0.0000
0.5000 0.5000 0.5000
0.6250 0.3750 0.2500
0.6250 0.7500 0.3750
0.7500 0.3750 0.6250
0.7500 0.8750 0.1250
0.8750 0.1250 0.7500
0.8750 0.2500 0.1250
```

Output
The formation energy (no corrections) is -1711 meV per atom. The density of states at the Fermi level is 13.4 states/eV/f.u. As for the space group: Ia-3d.

---

Y3TeO: optimized geometry, PBE.

The structure in POSCAR format:
```
Y3TeO
1.0
4.7888 0.0000 0.0000
0.0000 4.7888 0.0000
0.0000 0.0000 4.7888
Y Te O
3 1 1
Direct
0.0000 0.0000 0.5000
0.0000 0.5000 0.0000
0.5000 0.0000 0.0000
0.5000 0.5000 0.5000
0.0000 0.0000 0.0000
```

Output
The formation energy (no corrections) is -1346 meV per atom. The density of states at the Fermi level is 4.9 states/eV/f.u. As for the space group: Pm-3m. The calculation puts the energy above the lowest structure with this stoichiometry at 0 meV/atom.

---

Y2TeO: optimized geometry, PBE.

The structure in POSCAR format:
```
Y2TeO
1.0
1.8944 1.0937 6.8079
-1.8944 1.0937 6.8079
0.0000 -2.1874 6.8079
Y Te O
2 1 1
Direct
0.2270 0.2270 0.2270
0.7730 0.7730 0.7730
0.0000 0.0000 0.0000
0.5000 0.5000 0.5000
```

Output
The formation energy (no corrections) is -1891 meV per atom. The density of states at the Fermi level is 0.9 states/eV/f.u. As for the space group: R-3m. The calculation puts the energy above the lowest structure with this stoichiometry at 36 meV/atom.

---

YTe3O: optimized geometry, PBE.

The structure in POSCAR format:
```
YTe3O
1.0
4.9002 0.0000 0.0000
0.0000 4.9002 0.0000
0.0000 0.0000 4.9002
Y Te O
1 3 1
Direct
0.0000 0.0000 0.0000
0.0000 0.5000 0.5000
0.5000 0.0000 0.5000
0.5000 0.5000 0.0000
0.5000 0.5000 0.5000
```

Output
The formation energy (no corrections) is -534 meV per atom. The density of states at the Fermi level is 1.7 states/eV/f.u. As for the space group: Pm-3m. The calculation puts the energy above the lowest structure with this stoichiometry at 0 meV/atom.

---

YTeO5: optimized geometry, PBE.

The structure in POSCAR format:
```
YTeO5
1.0
-1.9502 3.2544 4.0861
1.9502 -3.2544 4.0861
1.9502 3.2544 -4.0861
Y Te O
1 1 5
Direct
0.0000 0.0000 0.0000
0.5000 0.5000 0.0000
0.2040 0.5000 0.7040
0.2692 0.2692 0.0000
0.5000 0.0000 0.5000
0.7308 0.7308 0.0000
0.7960 0.5000 0.2960
```

Output
The formation energy (no corrections) is -1679 meV per atom. The density of states at the Fermi level is 2.4 states/eV/f.u. As for the space group: Immm.

---

Y2TeO: optimized geometry, PBE.

The structure in POSCAR format:
```
Y2TeO
1.0
6.4761 0.0000 0.0000
0.0000 6.3447 0.0000
-5.6042 0.0000 9.9044
Y Te O
8 4 4
Direct
0.0286 0.2335 0.0690
0.0286 0.7665 0.5690
0.2905 0.2047 0.8224
0.2905 0.7953 0.3224
0.7095 0.2047 0.6776
0.7095 0.7953 0.1776
0.9714 0.2335 0.4310
0.9714 0.7665 0.9310
0.3840 0.2872 0.3689
0.3840 0.7128 0.8689
0.6160 0.2872 0.1311
0.6160 0.7128 0.6311
0.0081 0.1050 0.8822
0.0081 0.8950 0.3822
0.9919 0.1050 0.6178
0.9919 0.8950 0.1178
```

Output
The formation energy (no corrections) is -1906 meV per atom. The density of states at the Fermi level is 2.3 states/eV/f.u. As for the space group: P2/c. The calculation puts the energy above the lowest structure with this stoichiometry at 20 meV/atom.

---

YTe2O5: optimized geometry, PBE.

The structure in POSCAR format:
```
YTe2O5
1.0
7.3603 0.0000 0.0000
0.0000 10.7324 0.0000
0.0000 0.0000 7.0809
Y Te O
4 8 20
Direct
0.0000 0.0558 0.2500
0.0000 0.9442 0.7500
0.5000 0.4442 0.7500
0.5000 0.5558 0.2500
0.1072 0.3515 0.0169
0.1072 0.6485 0.5169
0.3928 0.1485 0.5169
0.3928 0.8515 0.0169
0.6072 0.1485 0.9831
0.6072 0.8515 0.4831
0.8928 0.3515 0.4831
0.8928 0.6485 0.9831
0.0000 0.4379 0.2500
0.0000 0.5621 0.7500
0.1594 0.0651 0.5299
0.1594 0.9349 0.0299
0.1847 0.2134 0.1700
0.1847 0.7866 0.6700
0.3153 0.2866 0.6700
0.3153 0.7134 0.1700
0.3406 0.4349 0.0299
0.3406 0.5651 0.5299
0.5000 0.0621 0.7500
0.5000 0.9379 0.2500
0.6594 0.4349 0.4701
0.6594 0.5651 0.9701
0.6847 0.2866 0.8300
0.6847 0.7134 0.3300
0.8153 0.2134 0.3300
0.8153 0.7866 0.8300
0.8406 0.0651 0.9701
0.8406 0.9349 0.4701
```

Output
The formation energy (no corrections) is -1672 meV per atom. The density of states at the Fermi level is 1.5 states/eV/f.u. As for the space group: Pbcn.

---

Y2Te5O13: optimized geometry, PBE.

The structure in POSCAR format:
```
Y2Te5O13
1.0
7.0534 0.0000 0.0000
2.2563 8.5098 0.0000
0.4721 -0.0093 10.8085
Y Te O
4 10 26
Direct
0.0002 0.2380 0.2388
0.9998 0.7620 0.7612
0.4461 0.9734 0.8218
0.5539 0.0266 0.1782
0.1208 0.8513 0.1077
0.1535 0.3032 0.6448
0.2712 0.8943 0.4898
0.2917 0.3744 0.9780
0.4424 0.3987 0.3007
0.5576 0.6013 0.6993
0.7083 0.6256 0.0220
0.7288 0.1057 0.5102
0.8465 0.6968 0.3552
0.8792 0.1487 0.8923
0.0433 0.8509 0.5668
0.0612 0.3168 0.0384
0.0649 0.5157 0.6921
0.0667 0.7657 0.2750
0.1229 0.9898 0.8944
0.2357 0.9948 0.1870
0.3158 0.2346 0.2858
0.3267 0.2413 0.7762
0.3268 0.7285 0.7774
0.3354 0.0151 0.6191
0.3509 0.4794 0.1256
0.4571 0.6956 0.5225
0.4664 0.1698 0.9993
0.5336 0.8302 0.0007
0.5429 0.3044 0.4775
0.6491 0.5206 0.8744
0.6646 0.9849 0.3809
0.6732 0.2715 0.2226
0.6733 0.7587 0.2238
0.6842 0.7654 0.7142
0.7643 0.0052 0.8130
0.8771 0.0102 0.1056
0.9333 0.2343 0.7250
0.9351 0.4843 0.3079
0.9388 0.6832 0.9616
0.9567 0.1491 0.4332
```

Output
The formation energy (no corrections) is -1730 meV per atom. The density of states at the Fermi level is 0.0 states/eV/f.u. As for the space group: P-1.

---

Y3TeO7: optimized geometry, PBE.

The structure in POSCAR format:
```
Y3TeO7
1.0
3.7796 -5.3245 0.0000
3.7796 5.3245 0.0000
0.0000 0.0000 7.6492
Y Te O
6 2 14
Direct
0.0120 0.0120 0.0000
0.0295 0.5007 0.2521
0.4993 0.9705 0.2479
0.5007 0.0295 0.7479
0.9705 0.4993 0.7521
0.9880 0.9880 0.5000
0.4991 0.4991 0.5000
0.5009 0.5009 0.0000
0.1305 0.8695 0.7500
0.1386 0.8614 0.2500
0.1671 0.4178 0.9738
0.1743 0.4278 0.5309
0.4178 0.1671 0.0262
0.4278 0.1743 0.4691
0.4307 0.5693 0.2500
0.5693 0.4307 0.7500
0.5722 0.8257 0.9691
0.5822 0.8329 0.5262
0.8257 0.5722 0.0309
0.8329 0.5822 0.4738
0.8614 0.1386 0.7500
0.8695 0.1305 0.2500
```

Output
The formation energy (no corrections) is -2740 meV per atom. The density of states at the Fermi level is 2.1 states/eV/f.u. As for the space group: C222_1.